(1)
A plane-wave DFT calculation with PBE-GGA was carried out for a geometry-optimized Cs2SmU2S6 structure.

Properties
**SG**: C2/m, No. 12
**DOS(E_F)**: 11.74 states/eV/f.u.
**Calculated total energy**: -71.1 eV per cell

Geometry as POSCAR:
```
Cs2SmU2S6
1.0
3.5264 -6.1259 0.0000
3.5264 6.1259 0.0000
-2.2918 0.0000 8.2673
Cs Sm U S
2 1 2 6
direct
0.1648 0.8352 0.0000
0.8352 0.1648 0.0000
0.0000 0.0000 0.5000
0.3343 0.6657 0.5000
0.6657 0.3343 0.5000
0.0558 0.3992 0.6771
0.2826 0.2826 0.3219
0.3992 0.0558 0.6771
0.6008 0.9442 0.3229
0.7174 0.7174 0.6781
0.9442 0.6008 0.3229
```



(2)
A plane-wave DFT calculation with PBE-GGA was carried out for a geometry-optimized Li2PuNpO4 structure.

Properties
**SG**: P2/m, No. 10
**DOS(E_F)**: 12.15 states/eV/f.u.
**Calculated total energy**: -69.9 eV per cell

Geometry as POSCAR:
```
Li2PuNpO4
1.0
5.5118 0.0000 0.0000
0.0000 3.4300 0.0000
-2.2072 0.0000 5.5638
Li Pu Np O
2 1 1 4
direct
0.0000 0.0000 0.0000
0.0000 0.5000 0.5000
0.5000 0.0000 0.5000
0.5000 0.5000 0.0000
0.2554 0.0000 0.7558
0.2580 0.5000 0.2422
0.7420 0.5000 0.7578
0.7446 0.0000 0.2442
```



(3)
A plane-wave DFT calculation with PBE-GGA was carried out for a geometry-optimized Li4PCl structure.

Properties
**SG**: C2/m, No. 12
**E above lowest polymorph**: 0.0 meV per atom
**DOS(E_F)**: 0.00 states/eV/f.u.

Geometry as POSCAR:
```
Li4PCl
1.0
6.8853 -2.1150 0.0000
6.8853 2.1150 0.0000
-1.7936 0.0000 7.4037
Li P Cl
8 2 2
direct
0.0497 0.0497 0.2217
0.1968 0.1968 0.5023
0.3188 0.3188 0.9033
0.4330 0.4330 0.3464
0.5670 0.5670 0.6536
0.6812 0.6812 0.0967
0.8032 0.8032 0.4977
0.9503 0.9503 0.7783
0.3835 0.3835 0.6359
0.6165 0.6165 0.3641
0.1372 0.1372 0.8950
0.8628 0.8628 0.1050
```